Record 1
Entry from the Alexandria database: a relaxed Ba2AgSbS5 crystal (PBE).

Cell: 10.1903 10.1903 11.4859 Å, 90.00 90.00 156.32°
Last column: nearest neighbours and their distance in Å.
Fractional positions:
Ba (0.1142, 0.8858, 0.5000)  8 S 3.12-3.45
Ba (0.1156, 0.8844, 0.9241)  8 S 3.14-3.44
Ba (0.8844, 0.1156, 0.4241)  8 S 3.14-3.44
Ba (0.8858, 0.1142, 0.0000)  8 S 3.12-3.45
Ag (0.4524, 0.5476, 0.6629)  3 S 2.44-2.48
Ag (0.5476, 0.4524, 0.1629)  3 S 2.44-2.48
Sb (0.2305, 0.7695, 0.2125)  6 S 2.51-2.72
Sb (0.7695, 0.2305, 0.7125)  6 S 2.51-2.72
S (0.1012, 0.8988, 0.2196)  2 Ag 2.44, 1 Sb 2.58
S (0.2725, 0.7275, 0.5617)  2 Sb 2.72
S (0.2732, 0.7268, 0.8623)  2 Sb 2.71
S (0.3561, 0.6439, 0.2123)  1 Sb 2.51
S (0.4999, 0.5001, 0.4634)  1 Ag 2.48
S (0.5001, 0.4999, 0.9634)  1 Ag 2.48
S (0.6439, 0.3561, 0.7123)  1 Sb 2.51
S (0.7268, 0.2732, 0.3623)  2 Sb 2.71
S (0.7275, 0.2725, 0.0617)  2 Sb 2.72
S (0.8988, 0.1012, 0.7196)  2 Ag 2.44, 1 Sb 2.58

Computed properties:
Space-group type: Cmc2_1 (36)
Formation energy without anion corrections, eV per formula unit: -8.54
Magnetization, μB/f.u.: 0.0

---

Record 2
Entry from the Alexandria database: a relaxed SrSbPb2N crystal (PBE).

Cell: 5.7903 5.7903 6.2483 Å, 90.00 90.00 90.00°
Last column: nearest neighbours and their distance in Å.
Fractional positions:
Sr (0.0000, 0.0000, 0.0000)  2 Sb 3.12
Sb (0.0000, 0.0000, 0.5000)  4 Pb 2.90, 2 Sr 3.12
Pb (0.0000, 0.5000, 0.5000)  2 Sb 2.90
Pb (0.5000, 0.0000, 0.5000)  2 Sb 2.90
N (0.5000, 0.5000, 0.0000)  4 Sr 4.09, 8 Pb 4.26

Computed properties:
Space-group type: P4/mmm (123)
Formation energy without anion corrections, eV per formula unit: 6.30
Magnetization, μB/f.u.: 0.0

---

Record 3
Entry from the Alexandria database: a relaxed HfNbBi crystal (PBE).

Cell: 5.0810 5.0810 3.0013 Å, 90.00 90.00 120.00°
Last column: nearest neighbours and their distance in Å.
Fractional positions:
Hf (0.0000, 0.0000, 0.0000)  2 Hf 3.00, 6 Bi 3.29-3.30, 6 Nb 3.29-3.30
Nb (0.3333, 0.6667, 0.5017)  3 Bi 2.93, 2 Nb 3.00
Bi (0.6667, 0.3333, 0.4939)  3 Nb 2.93, 2 Bi 3.00

Computed properties:
DFT formation energy, eV/atom: 0.249
Space-group type: P3m1 (156)
Magnetization, μB/f.u.: 0.0

---

Record 4
Entry from the Alexandria database: a relaxed La8Co3 crystal (PBE).

Cell: 6.9249 6.9249 6.9249 Å, 89.97 89.97 89.97°
Last column: nearest neighbours and their distance in Å.
Fractional positions:
La (0.1621, 0.1621, 0.1621)  3 Co 2.83
La (0.1657, 0.6678, 0.3273)  2 Co 2.79-2.84
La (0.3273, 0.1657, 0.6678)  2 Co 2.79-2.84
La (0.3322, 0.6727, 0.8343)  2 Co 2.79-2.84
La (0.6678, 0.3273, 0.1657)  2 Co 2.79-2.84
La (0.6727, 0.8343, 0.3322)  2 Co 2.79-2.84
La (0.8343, 0.3322, 0.6727)  2 Co 2.79-2.84
La (0.8379, 0.8379, 0.8379)  3 Co 2.83
Co (0.0000, 0.0000, 0.5000)  6 La 2.79-2.84
Co (0.0000, 0.5000, 0.0000)  6 La 2.79-2.84
Co (0.5000, 0.0000, 0.0000)  6 La 2.79-2.84

Computed properties:
DFT formation energy, eV/atom: -0.058
Space-group type: R-3 (148)
Magnetization, μB/f.u.: 0.0

---

Record 5
Entry from the Alexandria database: a relaxed RbPdBr6 crystal (PBE).

Cell: 6.5383 6.5383 6.5383 Å, 100.68 100.68 100.68°
Last column: nearest neighbours and their distance in Å.
Fractional positions:
Rb (0.0000, 0.0000, 0.0000)  12 Br 3.63-3.79
Pd (0.5000, 0.5000, 0.5000)  6 Br 2.50
Br (0.2197, 0.2197, 0.5680)  1 Pd 2.50
Br (0.2197, 0.5680, 0.2197)  1 Pd 2.50
Br (0.4320, 0.7803, 0.7803)  1 Pd 2.50
Br (0.5680, 0.2197, 0.2197)  1 Pd 2.50
Br (0.7803, 0.4320, 0.7803)  1 Pd 2.50
Br (0.7803, 0.7803, 0.4320)  1 Pd 2.50

Computed properties:
Space-group type: R-3m (166)
Formation energy without anion corrections, eV per formula unit: -3.85
Magnetization, μB/f.u.: 0.6
Energy above the most stable polymorph in this dataset, meV/atom: 28

---

Record 6
Entry from the Alexandria database: a relaxed BaFe2Ru crystal (PBE).

Cell: 3.1034 3.1034 28.0370 Å, 90.00 90.00 120.00°
Last column: nearest neighbours and their distance in Å.
Fractional positions:
Ba (0.0000, 0.0000, 0.0000)  6 Ba 3.10, 6 Fe 3.41
Ba (0.3333, 0.6667, 0.6667)  6 Ba 3.10, 6 Fe 3.41
Ba (0.6667, 0.3333, 0.3333)  6 Ba 3.10, 6 Fe 3.41
Fe (0.0000, 0.0000, 0.2298)  3 Ru 2.52
Fe (0.0000, 0.0000, 0.7702)  3 Ru 2.52
Fe (0.3333, 0.6667, 0.4368)  3 Ru 2.52
Fe (0.3333, 0.6667, 0.8965)  3 Ru 2.52
Fe (0.6667, 0.3333, 0.1035)  3 Ru 2.52
Fe (0.6667, 0.3333, 0.5632)  3 Ru 2.52
Ru (0.0000, 0.0000, 0.5000)  6 Fe 2.52
Ru (0.3333, 0.6667, 0.1667)  6 Fe 2.52
Ru (0.6667, 0.3333, 0.8333)  6 Fe 2.52

Computed properties:
DFT formation energy, eV/atom: 1.024
Space-group type: R-3m (166)
Magnetization, μB/f.u.: 6.3

---

Record 7
Entry from the Alexandria database: a relaxed LaDyTlSn crystal (PBE).

Cell: 7.7578 7.7578 7.7578 Å, 90.00 90.00 90.00°
Last column: nearest neighbours and their distance in Å.
Fractional positions:
La (0.0000, 0.0000, 0.0000)  4 Tl 3.36, 4 Sn 3.36
La (0.0000, 0.5000, 0.5000)  4 Tl 3.36, 4 Sn 3.36
La (0.5000, 0.0000, 0.5000)  4 Tl 3.36, 4 Sn 3.36
La (0.5000, 0.5000, 0.0000)  4 Tl 3.36, 4 Sn 3.36
Dy (0.0000, 0.0000, 0.5000)  4 Sn 3.36, 4 Tl 3.36
Dy (0.0000, 0.5000, 0.0000)  4 Sn 3.36, 4 Tl 3.36
Dy (0.5000, 0.0000, 0.0000)  4 Sn 3.36, 4 Tl 3.36
Dy (0.5000, 0.5000, 0.5000)  4 Sn 3.36, 4 Tl 3.36
Tl (0.2500, 0.2500, 0.2500)  4 La 3.36, 4 Dy 3.36
Tl (0.2500, 0.7500, 0.7500)  4 Dy 3.36, 4 La 3.36
Tl (0.7500, 0.2500, 0.7500)  4 Dy 3.36, 4 La 3.36
Tl (0.7500, 0.7500, 0.2500)  4 Dy 3.36, 4 La 3.36
Sn (0.2500, 0.2500, 0.7500)  4 La 3.36, 4 Dy 3.36
Sn (0.2500, 0.7500, 0.2500)  4 La 3.36, 4 Dy 3.36
Sn (0.7500, 0.2500, 0.2500)  4 La 3.36, 4 Dy 3.36
Sn (0.7500, 0.7500, 0.7500)  4 La 3.36, 4 Dy 3.36

Computed properties:
DFT formation energy, eV/atom: -0.508
Space-group type: F-43m (216)
Magnetization, μB/f.u.: 0.0

---

Record 8
Entry from the Alexandria database: a relaxed PN2 crystal (PBE).

Cell: 2.7599 2.7599 10.5006 Å, 90.00 90.00 90.00°
Last column: nearest neighbours and their distance in Å.
Fractional positions:
P (0.0000, 0.0000, 0.0000)  4 N 1.65
P (0.5000, 0.5000, 0.5000)  4 N 1.65
N (0.0000, 0.5000, 0.0858)  2 P 1.65
N (0.0000, 0.5000, 0.4142)  2 P 1.65
N (0.5000, 0.0000, 0.5858)  2 P 1.65
N (0.5000, 0.0000, 0.9142)  2 P 1.65

Computed properties:
Space-group type: I-4m2 (119)
Formation energy without anion corrections, eV per formula unit: 1.11
Magnetization, μB/f.u.: 1.0
Energy above the most stable polymorph in this dataset, meV/atom: 166

---

Record 9
Entry from the Alexandria database: a relaxed Pr3Cu2Ni crystal (PBE).

Cell: 11.5774 4.2650 11.7184 Å, 90.00 90.00 90.00°
Last column: nearest neighbours and their distance in Å.
Fractional positions:
Pr (0.0467, 0.2500, 0.1272)  1 Ni 2.97, 5 Cu 3.07-3.18
Pr (0.1190, 0.7500, 0.5557)  3 Ni 2.91-3.04, 5 Cu 3.06-3.08
Pr (0.2238, 0.2500, 0.7958)  2 Ni 2.92, 4 Cu 2.97-3.16
Pr (0.2762, 0.7500, 0.2958)  2 Ni 2.92, 4 Cu 2.97-3.16
Pr (0.3810, 0.2500, 0.0557)  3 Ni 2.91-3.04, 5 Cu 3.06-3.08
Pr (0.4533, 0.7500, 0.6272)  1 Ni 2.97, 5 Cu 3.07-3.18
Pr (0.5467, 0.2500, 0.3728)  1 Ni 2.97, 5 Cu 3.07-3.18
Pr (0.6190, 0.7500, 0.9443)  3 Ni 2.91-3.04, 5 Cu 3.06-3.08
Pr (0.7238, 0.2500, 0.7042)  2 Ni 2.92, 4 Cu 2.97-3.16
Pr (0.7762, 0.7500, 0.2042)  2 Ni 2.92, 4 Cu 2.97-3.16
Pr (0.8810, 0.2500, 0.4443)  3 Ni 2.91-3.04, 5 Cu 3.06-3.08
Pr (0.9533, 0.7500, 0.8728)  1 Ni 2.97, 5 Cu 3.07-3.18
Cu (0.0202, 0.7500, 0.3134)  2 Ni 2.52
Cu (0.1992, 0.7500, 0.9932)  1 Ni 2.53
Cu (0.3008, 0.2500, 0.4932)  1 Ni 2.53
Cu (0.4798, 0.2500, 0.8134)  2 Ni 2.52
Cu (0.5202, 0.7500, 0.1866)  2 Ni 2.52
Cu (0.6992, 0.7500, 0.5068)  1 Ni 2.53
Cu (0.8008, 0.2500, 0.0068)  1 Ni 2.53
Cu (0.9798, 0.2500, 0.6866)  2 Ni 2.52
Ni (0.1208, 0.2500, 0.3702)  3 Cu 2.52-2.53
Ni (0.3792, 0.7500, 0.8702)  3 Cu 2.52-2.53
Ni (0.6208, 0.2500, 0.1298)  3 Cu 2.52-2.53
Ni (0.8792, 0.7500, 0.6298)  3 Cu 2.52-2.53

Computed properties:
DFT formation energy, eV/atom: -0.183
Space-group type: Pnma (62)
Magnetization, μB/f.u.: 0.0

---

Record 10
Entry from the Alexandria database: a relaxed Ac2Cu6SiPd crystal (PBE).

Cell: 6.4006 6.4055 6.4452 Å, 61.88 61.93 61.81°
Last column: nearest neighbours and their distance in Å.
Fractional positions:
Ac (0.2052, 0.2032, 0.2010)  6 Cu 3.13-3.37, 1 Pd 3.15
Ac (0.7948, 0.7968, 0.7990)  6 Cu 3.13-3.37, 1 Pd 3.15
Cu (0.2518, 0.2551, 0.6374)  1 Si 2.34, 1 Pd 2.46, 2 Cu 2.53
Cu (0.2535, 0.6382, 0.2549)  1 Si 2.34, 1 Pd 2.46, 2 Cu 2.53-2.54
Cu (0.3614, 0.7503, 0.7410)  1 Si 2.34, 1 Pd 2.47, 2 Cu 2.53-2.54
Cu (0.6386, 0.2497, 0.2590)  1 Si 2.34, 1 Pd 2.47, 2 Cu 2.53-2.54
Cu (0.7465, 0.3618, 0.7451)  1 Si 2.34, 1 Pd 2.46, 2 Cu 2.53-2.54
Cu (0.7482, 0.7449, 0.3626)  1 Si 2.34, 1 Pd 2.46, 2 Cu 2.53
Si (0.5000, 0.5000, 0.5000)  6 Cu 2.34
Pd (0.0000, 0.0000, 0.0000)  6 Cu 2.46-2.47

Computed properties:
Space-group type: P-1 (2)
Formation energy without anion corrections, eV per formula unit: -1.81
Magnetization, μB/f.u.: 0.0

---

Record 11
Entry from the Alexandria database: a relaxed LaSbSe2N crystal (PBE).

Cell: 5.8490 5.8490 4.1926 Å, 90.00 90.00 90.00°
Last column: nearest neighbours and their distance in Å.
Fractional positions:
La (0.0000, 0.0000, 0.0000)  2 N 2.10
Sb (0.5000, 0.5000, 0.5000)  8 Se 3.60
Se (0.0000, 0.5000, 0.0000)  2 La 2.92
Se (0.5000, 0.0000, 0.0000)  2 La 2.92
N (0.0000, 0.0000, 0.5000)  2 La 2.10

Computed properties:
Space-group type: P4/mmm (123)
Formation energy without anion corrections, eV per formula unit: 0.95
Magnetization, μB/f.u.: 0.6
Energy above the most stable polymorph in this dataset, meV/atom: 480

---

Record 12
Entry from the Alexandria database: a relaxed KSi2Br crystal (PBE).

Cell: 3.4848 5.7656 9.9134 Å, 90.00 90.00 90.00°
Last column: nearest neighbours and their distance in Å.
Fractional positions:
K (0.0000, 0.0000, 0.0000)  4 Si 3.32, 6 K 3.37-3.48
K (0.5000, 0.5000, 0.0000)  4 Si 3.32, 6 K 3.37-3.48
Si (0.0000, 0.5000, 0.2845)  2 Br 2.76
Si (0.0000, 0.5000, 0.7155)  2 Br 2.76
Si (0.5000, 0.0000, 0.2845)  2 Br 2.76
Si (0.5000, 0.0000, 0.7155)  2 Br 2.76
Br (0.0000, 0.0000, 0.5000)  4 Si 2.76
Br (0.5000, 0.5000, 0.5000)  4 Si 2.76

Computed properties:
Space-group type: Cmmm (65)
Formation energy without anion corrections, eV per formula unit: 2.90
Magnetization, μB/f.u.: 0.0
Energy above the most stable polymorph in this dataset, meV/atom: 1120

---

Record 13
Entry from the Alexandria database: a relaxed KReRh crystal (PBE).

Cell: 6.2779 6.2779 6.2779 Å, 90.00 90.00 90.00°
Last column: nearest neighbours and their distance in Å.
Fractional positions:
K (0.0000, 0.0000, 0.0000)  4 Re 2.72
K (0.0000, 0.5000, 0.5000)  4 Re 2.72
K (0.5000, 0.0000, 0.5000)  4 Re 2.72
K (0.5000, 0.5000, 0.0000)  4 Re 2.72
Re (0.2500, 0.2500, 0.7500)  4 K 2.72, 4 Rh 2.72
Re (0.2500, 0.7500, 0.2500)  4 K 2.72, 4 Rh 2.72
Re (0.7500, 0.2500, 0.2500)  4 K 2.72, 4 Rh 2.72
Re (0.7500, 0.7500, 0.7500)  4 K 2.72, 4 Rh 2.72
Rh (0.0000, 0.0000, 0.5000)  4 Re 2.72
Rh (0.0000, 0.5000, 0.0000)  4 Re 2.72
Rh (0.5000, 0.0000, 0.0000)  4 Re 2.72
Rh (0.5000, 0.5000, 0.5000)  4 Re 2.72

Computed properties:
DFT formation energy, eV/atom: 1.772
Space-group type: F-43m (216)
Magnetization, μB/f.u.: 0.0
Energy above the most stable polymorph in this dataset, meV/atom: 1083

---

Record 14
Entry from the Alexandria database: a relaxed KBi3C crystal (PBE).

Cell: 5.2049 5.2049 5.2049 Å, 90.00 90.00 90.00°
Last column: nearest neighbours and their distance in Å.
Fractional positions:
K (0.0000, 0.0000, 0.0000)  12 Bi 3.68
Bi (0.0000, 0.5000, 0.5000)  2 C 2.60
Bi (0.5000, 0.0000, 0.5000)  2 C 2.60
Bi (0.5000, 0.5000, 0.0000)  2 C 2.60
C (0.5000, 0.5000, 0.5000)  6 Bi 2.60

Computed properties:
DFT formation energy, eV/atom: 0.767
Space-group type: Pm-3m (221)
Magnetization, μB/f.u.: 0.0
Energy above the most stable polymorph in this dataset, meV/atom: 0

---

Record 15
Entry from the Alexandria database: a relaxed LiBiI2 crystal (PBE).

Cell: 8.1781 8.1781 8.0612 Å, 90.00 90.00 90.00°
Last column: nearest neighbours and their distance in Å.
Fractional positions:
Li (0.0000, 0.0000, 0.0000)  4 I 2.86
Li (0.0000, 0.5000, 0.2500)  4 I 2.86
Li (0.5000, 0.0000, 0.7500)  4 I 2.86
Li (0.5000, 0.5000, 0.5000)  4 I 2.86
Bi (0.0000, 0.0000, 0.5000)  4 I 3.28
Bi (0.0000, 0.5000, 0.7500)  4 I 3.28
Bi (0.5000, 0.0000, 0.2500)  4 I 3.28
Bi (0.5000, 0.5000, 0.0000)  4 I 3.28
I (0.2120, 0.7500, 0.1250)  2 Li 2.86
I (0.2500, 0.2120, 0.8750)  2 Li 2.86
I (0.2500, 0.2880, 0.3750)  2 Li 2.86
I (0.2880, 0.7500, 0.6250)  2 Li 2.86
I (0.7120, 0.2500, 0.6250)  2 Li 2.86
I (0.7500, 0.7120, 0.3750)  2 Li 2.86
I (0.7500, 0.7880, 0.8750)  2 Li 2.86
I (0.7880, 0.2500, 0.1250)  2 Li 2.86

Computed properties:
Space-group type: I-42d (122)
Formation energy without anion corrections, eV per formula unit: -1.31
Magnetization, μB/f.u.: 0.0
Energy above the most stable polymorph in this dataset, meV/atom: 241

---

Record 16
Entry from the Alexandria database: a relaxed AlCdAg3 crystal (PBE).

Cell: 2.9482 9.6275 7.1005 Å, 90.00 101.66 90.00°
Last column: nearest neighbours and their distance in Å.
Fractional positions:
Al (0.0000, 0.0000, 0.0000)  6 Ag 2.66-2.73, 2 Al 2.95
Al (0.0000, 0.5000, 0.0000)  6 Ag 2.66-2.73, 2 Al 2.95
Cd (0.1916, 0.2500, 0.3883)  6 Ag 2.92-3.10, 2 Cd 2.95
Cd (0.8084, 0.7500, 0.6117)  6 Ag 2.92-3.10, 2 Cd 2.95
Ag (0.0963, 0.7500, 0.1849)  2 Al 2.73, 6 Ag 2.92-2.95
Ag (0.3410, 0.0067, 0.6811)  2 Al 2.66-2.67, 6 Ag 2.91-2.95, 2 Cd 2.92
Ag (0.3410, 0.4933, 0.6811)  2 Al 2.66-2.67, 6 Ag 2.91-2.95, 2 Cd 2.92
Ag (0.6590, 0.5067, 0.3189)  2 Al 2.66-2.67, 6 Ag 2.91-2.95, 2 Cd 2.92
Ag (0.6590, 0.9933, 0.3189)  2 Al 2.66-2.67, 6 Ag 2.91-2.95, 2 Cd 2.92
Ag (0.9037, 0.2500, 0.8151)  2 Al 2.73, 6 Ag 2.92-2.95

Computed properties:
DFT formation energy, eV/atom: 0.043
Space-group type: P2_1/m (11)
Magnetization, μB/f.u.: 0.0
Energy above the most stable polymorph in this dataset, meV/atom: 93

---

Record 17
Entry from the Alexandria database: a relaxed Pr2MgGa3Ag4 crystal (PBE).

Cell: 4.4265 4.4265 11.0838 Å, 90.00 90.00 90.00°
Last column: nearest neighbours and their distance in Å.
Fractional positions:
Pr (0.0000, 0.5000, 0.2354)  6 Ga 3.33-3.67, 8 Ag 3.42-3.43, 2 Mg 3.67
Pr (0.5000, 0.0000, 0.7646)  6 Ga 3.33-3.67, 8 Ag 3.42-3.43, 2 Mg 3.67
Mg (0.0000, 0.0000, 0.5000)  4 Ag 2.70
Ga (0.0000, 0.5000, 0.8677)  5 Ag 2.53-2.66
Ga (0.5000, 0.0000, 0.1323)  5 Ag 2.53-2.66
Ga (0.5000, 0.5000, 0.5000)  4 Ag 2.70
Ag (0.0000, 0.0000, 0.0000)  4 Ga 2.66
Ag (0.0000, 0.5000, 0.6390)  3 Ga 2.53-2.70, 2 Mg 2.70
Ag (0.5000, 0.0000, 0.3610)  3 Ga 2.53-2.70, 2 Mg 2.70
Ag (0.5000, 0.5000, 0.0000)  4 Ga 2.66

Computed properties:
DFT formation energy, eV/atom: -0.337
Space-group type: P-4m2 (115)
Magnetization, μB/f.u.: 0.0